Er8ZnRu5 | Alexandria | PBE | relaxed; energy = -6.27 eV per atom; ΔH_f (0 K) = -0.2575 eV/atom; symmetry = I-4 (82)
1.0
-4.288 4.288 4.212
4.288 -4.288 4.212
4.288 4.288 -4.212
Er Zn Ru
8 1 5
Direct
0.009 0.618 0.739
0.257 0.516 0.116
0.382 0.121 0.390
0.400 0.141 0.884
0.484 0.600 0.741
0.731 0.991 0.610
0.859 0.743 0.259
0.879 0.269 0.261
0.000 0.000 0.000
0.111 0.207 0.597
0.250 0.750 0.500
0.486 0.889 0.096
0.610 0.514 0.403
0.793 0.390 0.904